# 1
AlBIBr2 | PBE | optimized geometry

Output
- ΔE_f (raw): 1.35 eV/atom
- Calculated volume: 41.9 Å³/atom
- Space group: P4/mmm (123)
- DOS(E_F): 1.083 states/eV per atom

Cell: 5.8537 5.8537 6.1198 Å, 90.00 90.00 90.00°
Positions (direct):
Al1 0.0000 0.0000 0.0000
B1 0.5000 0.5000 0.0000
I1 0.0000 0.0000 0.5000
Br1 0.0000 0.5000 0.5000
Br2 0.5000 0.0000 0.5000


# 2
NaTaTcO2 | PBE | optimized geometry

Output
- ΔE_f (raw): -0.55 eV/atom
- Calculated volume: 17.4 Å³/atom
- Space group: P4/mmm (123)
- DOS(E_F): 0.896 states/eV per atom

Cell: 3.9921 3.9921 5.4545 Å, 90.00 90.00 90.00°
Positions (direct):
Na1 0.0000 0.0000 0.0000
Ta1 0.5000 0.5000 0.5000
Tc1 0.5000 0.5000 0.0000
O1 0.0000 0.5000 0.5000
O2 0.5000 0.0000 0.5000